# 1
# PBE-GGA NaTeMo2Ru, optimized geometry
# ΔE_f (raw): 2.542 eV per atom
# Calculated density: 7.17 g/cm³
# Fermi-level density of states: 7.17 states/eV/f.u.
data_NaTeMo2Ru
_cell_length_a 4.617
_cell_length_b 4.617
_cell_length_c 4.821
_cell_angle_alpha 90.00
_cell_angle_beta 90.00
_cell_angle_gamma 90.00
_space_group_name_H-M_alt 'P 4/m m m'
_space_group_IT_number 123
_space_group_name_Hall '-P 4 2'
loop_
_atom_site_label
_atom_site_type_symbol
_atom_site_fract_x
_atom_site_fract_y
_atom_site_fract_z
_atom_site_occupancy
Na1 Na 0.000 0.000 0.000 1
Te1 Te 0.000 0.000 0.500 1
Mo1 Mo 0.000 0.500 0.000 1
Ru1 Ru 0.500 0.500 0.500 1

***

# 2
# PBE-GGA Sn5Bi, optimized geometry
# Calculated density: 7.58 g/cm³
# Energy of formation: 0.04 eV per atom
# E above lowest polymorph: 0.00 eV per formula unit
# Fermi-level density of states: 2.31 states/eV/f.u.
data_Sn5Bi
_cell_length_a 5.721
_cell_length_b 9.883
_cell_length_c 6.221
_cell_angle_alpha 90.00
_cell_angle_beta 90.00
_cell_angle_gamma 90.00
_space_group_name_H-M_alt 'P 1 21/m 1'
_space_group_IT_number 11
_space_group_name_Hall '-P 2yb'
loop_
_atom_site_label
_atom_site_type_symbol
_atom_site_fract_x
_atom_site_fract_y
_atom_site_fract_z
_atom_site_occupancy
Sn1 Sn 0.249 0.085 0.001 1
Sn2 Sn 0.250 0.081 0.501 1
Sn3 Sn 0.250 0.750 0.501 1
Bi1 Bi 0.251 0.750 0.001 1

***

# 3
# PBE-GGA Bi3PdBr, optimized geometry
# ΔE_f (raw): -0.168 eV per atom
# Calculated density: 8.76 g/cm³
# E above lowest polymorph: 0.00 eV per formula unit
# Fermi-level density of states: 2.17 states/eV/f.u.
data_Bi3PdBr
_cell_length_a 9.941
_cell_length_b 8.225
_cell_length_c 7.908
_cell_angle_alpha 90.00
_cell_angle_beta 107.57
_cell_angle_gamma 90.00
_space_group_name_H-M_alt 'C 1 2/m 1'
_space_group_IT_number 12
_space_group_name_Hall '-C 2y'
loop_
_atom_site_label
_atom_site_type_symbol
_atom_site_fract_x
_atom_site_fract_y
_atom_site_fract_z
_atom_site_occupancy
Bi1 Bi 0.082 0.000 0.331 1
Bi2 Bi 0.195 0.254 0.786 1
Pd1 Pd 0.139 0.000 0.994 1
Br1 Br 0.063 0.500 0.264 1

***

# 4
# PBE-GGA InHgGe, optimized geometry
# Calculated density: 9.02 g/cm³
# Energy of formation: 0.19 eV per atom
# E above lowest polymorph: 0.19 eV per formula unit
# Fermi-level density of states: 0.78 states/eV/f.u.
data_InHgGe
_cell_length_a 3.2824
_cell_length_b 3.2824
_cell_length_c 7.6556
_cell_angle_alpha 90.00
_cell_angle_beta 90.00
_cell_angle_gamma 120.00
_space_group_name_H-M_alt 'P 3 m 1'
_space_group_IT_number 156
_space_group_name_Hall 'P 3 -2"'
loop_
_atom_site_label
_atom_site_type_symbol
_atom_site_fract_x
_atom_site_fract_y
_atom_site_fract_z
_atom_site_occupancy
In1 In 0.0000 0.0000 0.0000 1
Hg1 Hg 0.3333 0.6667 0.6502 1
Ge1 Ge 0.6667 0.3333 0.3292 1

***

# 5
# PBE-GGA Tb2PrNdEr5, optimized geometry
# Calculated density: 8.20 g/cm³
# Energy of formation: 0.27 eV per atom
# Fermi-level density of states: 10.51 states/eV/f.u.
data_Tb2PrNdEr5
_cell_length_a 8.804
_cell_length_b 8.804
_cell_length_c 15.047
_cell_angle_alpha 90.00
_cell_angle_beta 90.00
_cell_angle_gamma 90.00
_space_group_name_H-M_alt 'I 4/m c m'
_space_group_IT_number 140
_space_group_name_Hall '-I 4 2c'
loop_
_atom_site_label
_atom_site_type_symbol
_atom_site_fract_x
_atom_site_fract_y
_atom_site_fract_z
_atom_site_occupancy
Tb1 Tb 0.115 0.385 0.000 1
Pr1 Pr 0.000 0.000 0.250 1
Nd1 Nd 0.000 0.500 0.250 1
Er1 Er 0.000 0.000 0.000 1
Er2 Er 0.205 0.295 0.367 1

***

# 6
# PBE-GGA Mg4PtAu, optimized geometry
# Calculated density: 7.28 g/cm³
# Energy of formation: -0.05 eV per atom
# E above lowest polymorph: 2.99 eV per formula unit
# Fermi-level density of states: 2.34 states/eV/f.u.
data_Mg4PtAu
_cell_length_a 7.642
_cell_length_b 7.642
_cell_length_c 7.642
_cell_angle_alpha 90.00
_cell_angle_beta 90.00
_cell_angle_gamma 90.00
_space_group_name_H-M_alt 'F -4 3 m'
_space_group_IT_number 216
_space_group_name_Hall 'F -4 2 3'
loop_
_atom_site_label
_atom_site_type_symbol
_atom_site_fract_x
_atom_site_fract_y
_atom_site_fract_z
_atom_site_occupancy
Mg1 Mg 0.125 0.125 0.125 1
Pt1 Pt 0.250 0.250 0.750 1
Au1 Au 0.000 0.000 0.500 1

***

# 7
# PBE-GGA Ce2YTe3, optimized geometry
# ΔE_f (raw): -1.352 eV per atom
# Calculated density: 6.69 g/cm³
# Fermi-level density of states: 14.72 states/eV/f.u.
data_Ce2YTe3
_cell_length_a 4.398
_cell_length_b 6.298
_cell_length_c 13.484
_cell_angle_alpha 90.00
_cell_angle_beta 90.00
_cell_angle_gamma 90.00
_space_group_name_H-M_alt 'I m m m'
_space_group_IT_number 71
_space_group_name_Hall '-I 2 2'
loop_
_atom_site_label
_atom_site_type_symbol
_atom_site_fract_x
_atom_site_fract_y
_atom_site_fract_z
_atom_site_occupancy
Ce1 Ce 0.000 0.000 0.169 1
Y1 Y 0.000 0.000 0.500 1
Te1 Te 0.000 0.500 0.161 1
Te2 Te 0.000 0.500 0.500 1

***

# 8
# PBE-GGA YZr2Re, optimized geometry
# Calculated density: 7.83 g/cm³
# Energy of formation: 0.36 eV per atom
# E above lowest polymorph: 1.54 eV per formula unit
# Fermi-level density of states: 5.74 states/eV/f.u.
data_YZr2Re
_cell_length_a 8.010
_cell_length_b 8.010
_cell_length_c 6.048
_cell_angle_alpha 90.00
_cell_angle_beta 90.00
_cell_angle_gamma 90.00
_space_group_name_H-M_alt 'I -4 2 d'
_space_group_IT_number 122
_space_group_name_Hall 'I -4 2bw'
loop_
_atom_site_label
_atom_site_type_symbol
_atom_site_fract_x
_atom_site_fract_y
_atom_site_fract_z
_atom_site_occupancy
Y1 Y 0.000 0.000 0.000 1
Zr1 Zr 0.190 0.250 0.625 1
Re1 Re 0.000 0.000 0.500 1

***

# 9
# PBE-GGA CaRhBr2, optimized geometry
# ΔE_f (raw): -0.818 eV per atom
# Calculated density: 4.22 g/cm³
# E above lowest polymorph: 0.00 eV per formula unit
# Fermi-level density of states: 0.03 states/eV/f.u.
data_CaRhBr2
_cell_length_a 3.953
_cell_length_b 4.521
_cell_length_c 13.339
_cell_angle_alpha 90.00
_cell_angle_beta 90.00
_cell_angle_gamma 90.00
_space_group_name_H-M_alt 'I m m m'
_space_group_IT_number 71
_space_group_name_Hall '-I 2 2'
loop_
_atom_site_label
_atom_site_type_symbol
_atom_site_fract_x
_atom_site_fract_y
_atom_site_fract_z
_atom_site_occupancy
Ca1 Ca 0.000 0.000 0.000 1
Rh1 Rh 0.000 0.000 0.500 1
Br1 Br 0.000 0.500 0.138 1

***

# 10
# PBE-GGA ZnAsF5, optimized geometry
# ΔE_f (raw): -2.149 eV per atom
# Calculated density: 3.74 g/cm³
# Fermi-level density of states: 0.00 states/eV/f.u.
data_ZnAsF5
_cell_length_a 8.426
_cell_length_b 7.081
_cell_length_c 7.533
_cell_angle_alpha 90.00
_cell_angle_beta 111.49
_cell_angle_gamma 90.00
_space_group_name_H-M_alt 'C 1 2/c 1'
_space_group_IT_number 15
_space_group_name_Hall '-C 2yc'
loop_
_atom_site_label
_atom_site_type_symbol
_atom_site_fract_x
_atom_site_fract_y
_atom_site_fract_z
_atom_site_occupancy
Zn1 Zn 0.000 0.000 0.000 1
As1 As 0.000 0.486 0.250 1
F1 F 0.000 0.078 0.750 1
F2 F 0.035 0.309 0.091 1
F3 F 0.243 0.457 0.406 1

***

Number 1: raw total energy -4.537 eV per atom. Number 2: raw total energy -3.945 eV per atom. Number 3: raw total energy -3.869 eV per atom. Number 4: raw total energy -2.367 eV per atom. Number 5: raw total energy -4.355 eV per atom. Number 6: raw total energy -2.667 eV per atom. Number 7: raw total energy -5.978 eV per atom. Number 8: raw total energy -8.645 eV per atom. Number 9: raw total energy -3.993 eV per atom. Number 10: raw total energy -4.332 eV per atom.